# NiINO2 GGA+U relaxed
# - V (Å³ per cell) = 67.7
# - total DFT energy (no corrections) (eV/atom) = -3.515
# - D(E_F) (states/eV/cell) = 3.45
data_NiINO2
_chemical_formula_sum 'Ni1 I1 N1 O2'
_space_group_name_H-M_alt 'P 4/m m m'
_space_group_IT_number 123
_space_group_name_Hall '-P 4 2'
_cell_length_a 4.028
_cell_length_b 4.028
_cell_length_c 4.172
_cell_angle_alpha 90.00
_cell_angle_beta 90.00
_cell_angle_gamma 90.00
loop_
_atom_site_label
_atom_site_type_symbol
_atom_site_fract_x
_atom_site_fract_y
_atom_site_fract_z
Ni1 Ni 0.000 0.000 0.000
I1 I 0.500 0.500 0.500
N1 N 0.500 0.500 0.000
O1 O 0.000 0.500 0.500